The following is a PBEsol calculation of a geometry-optimized Rb2SnOsO structure, from the Alexandria database.

Values from the calculation:
energy relative to the elements, uncorrected = 0.11 eV per atom
volume = 135.65 Å³ per cell
symmetry = P4/mmm (123)
magnetic moment = 0.000 Bohr magnetons per cell

```
data_Rb2SnOsO
_space_group_name_H-M_alt 'P 1'
_space_group_IT_number 1
_cell_length_a 6.051
_cell_length_b 6.051
_cell_length_c 3.705
_cell_angle_alpha 90.00
_cell_angle_beta 90.00
_cell_angle_gamma 90.00
loop_
_space_group_symop_operation_xyz
'x,y,z'
loop_
_atom_site_label
_atom_site_type_symbol
_atom_site_fract_x
_atom_site_fract_y
_atom_site_fract_z
_atom_site_occupancy
Rb1 Rb 0.000 0.500 0.000 1
Rb2 Rb 0.500 0.000 0.000 1
Sn1 Sn 0.000 0.000 0.500 1
Os1 Os 0.500 0.500 0.500 1
O1 O 0.500 0.500 0.000 1
```



The following is a PBEsol calculation of a geometry-optimized OsRu3O structure, from the Alexandria database.

Values from the calculation:
energy relative to the elements, uncorrected = 2.47 eV per atom
volume = 98.84 Å³ per cell
symmetry = Pm-3m (221)
magnetic moment = 4.551 Bohr magnetons per cell

```
data_OsRu3O
_space_group_name_H-M_alt 'P 1'
_space_group_IT_number 1
_cell_length_a 4.624
_cell_length_b 4.624
_cell_length_c 4.624
_cell_angle_alpha 90.00
_cell_angle_beta 90.00
_cell_angle_gamma 90.00
loop_
_space_group_symop_operation_xyz
'x,y,z'
loop_
_atom_site_label
_atom_site_type_symbol
_atom_site_fract_x
_atom_site_fract_y
_atom_site_fract_z
_atom_site_occupancy
Os1 Os 0.000 0.000 0.000 1
Ru1 Ru 0.000 0.000 0.500 1
Ru2 Ru 0.000 0.500 0.000 1
Ru3 Ru 0.500 0.000 0.000 1
O1 O 0.500 0.500 0.500 1
```



The following is a PBEsol calculation of a geometry-optimized SbOsO3 structure, from the Alexandria database.

Values from the calculation:
energy relative to the elements, uncorrected = -0.42 eV per atom
volume = 61.19 Å³ per cell
symmetry = Pm-3m (221)
magnetic moment = 0.584 Bohr magnetons per cell

```
data_SbOsO3
_space_group_name_H-M_alt 'P 1'
_space_group_IT_number 1
_cell_length_a 3.941
_cell_length_b 3.941
_cell_length_c 3.941
_cell_angle_alpha 90.00
_cell_angle_beta 90.00
_cell_angle_gamma 90.00
loop_
_space_group_symop_operation_xyz
'x,y,z'
loop_
_atom_site_label
_atom_site_type_symbol
_atom_site_fract_x
_atom_site_fract_y
_atom_site_fract_z
_atom_site_occupancy
Sb1 Sb 0.000 0.000 0.000 1
Os1 Os 0.500 0.500 0.500 1
O1 O 0.000 0.500 0.500 1
O2 O 0.500 0.000 0.500 1
O3 O 0.500 0.500 0.000 1
```



The following is a PBEsol calculation of a geometry-optimized ScOs3O structure, from the Alexandria database.

Values from the calculation:
energy relative to the elements, uncorrected = 3.23 eV per atom
volume = 97.99 Å³ per cell
symmetry = Pm-3m (221)
magnetic moment = 5.157 Bohr magnetons per cell

```
data_ScOs3O
_space_group_name_H-M_alt 'P 1'
_space_group_IT_number 1
_cell_length_a 4.610
_cell_length_b 4.610
_cell_length_c 4.610
_cell_angle_alpha 90.00
_cell_angle_beta 90.00
_cell_angle_gamma 90.00
loop_
_space_group_symop_operation_xyz
'x,y,z'
loop_
_atom_site_label
_atom_site_type_symbol
_atom_site_fract_x
_atom_site_fract_y
_atom_site_fract_z
_atom_site_occupancy
Sc1 Sc 0.000 0.000 0.000 1
Os1 Os 0.000 0.000 0.500 1
Os2 Os 0.000 0.500 0.000 1
Os3 Os 0.500 0.000 0.000 1
O1 O 0.500 0.500 0.500 1
```



The following is a PBEsol calculation of a geometry-optimized Sc3OsO structure, from the Alexandria database.

Values from the calculation:
energy relative to the elements, uncorrected = 0.26 eV per atom
volume = 119.70 Å³ per cell
symmetry = Pm-3m (221)
magnetic moment = 0.000 Bohr magnetons per cell

```
data_Sc3OsO
_space_group_name_H-M_alt 'P 1'
_space_group_IT_number 1
_cell_length_a 4.928
_cell_length_b 4.928
_cell_length_c 4.928
_cell_angle_alpha 90.00
_cell_angle_beta 90.00
_cell_angle_gamma 90.00
loop_
_space_group_symop_operation_xyz
'x,y,z'
loop_
_atom_site_label
_atom_site_type_symbol
_atom_site_fract_x
_atom_site_fract_y
_atom_site_fract_z
_atom_site_occupancy
Sc1 Sc 0.000 0.000 0.500 1
Sc2 Sc 0.000 0.500 0.000 1
Sc3 Sc 0.500 0.000 0.000 1
Os1 Os 0.000 0.000 0.000 1
O1 O 0.500 0.500 0.500 1
```



The following is a PBEsol calculation of a geometry-optimized ScOsO2 structure, from the Alexandria database.

Values from the calculation:
energy relative to the elements, uncorrected = -1.05 eV per atom
volume = 53.04 Å³ per cell
symmetry = R-3m (166)
magnetic moment = 0.000 Bohr magnetons per cell

```
data_ScOsO2
_space_group_name_H-M_alt 'P 1'
_space_group_IT_number 1
_cell_length_a 5.543
_cell_length_b 5.543
_cell_length_c 5.543
_cell_angle_alpha 36.15
_cell_angle_beta 36.15
_cell_angle_gamma 36.15
loop_
_space_group_symop_operation_xyz
'x,y,z'
loop_
_atom_site_label
_atom_site_type_symbol
_atom_site_fract_x
_atom_site_fract_y
_atom_site_fract_z
_atom_site_occupancy
Sc1 Sc 0.000 0.000 0.000 1
Os1 Os 0.500 0.500 0.500 1
O1 O 0.128 0.128 0.128 1
O2 O 0.872 0.872 0.872 1
```



The following is a PBEsol calculation of a geometry-optimized Sr2ScOsO6 structure, from the Alexandria database.

Values from the calculation:
energy relative to the elements, uncorrected = -2.52 eV per atom
volume = 127.06 Å³ per cell
symmetry = Fm-3m (225)
magnetic moment = 1.823 Bohr magnetons per cell

```
data_Sr2ScOsO6
_space_group_name_H-M_alt 'P 1'
_space_group_IT_number 1
_cell_length_a 5.643
_cell_length_b 5.643
_cell_length_c 5.643
_cell_angle_alpha 60.00
_cell_angle_beta 60.00
_cell_angle_gamma 60.00
loop_
_space_group_symop_operation_xyz
'x,y,z'
loop_
_atom_site_label
_atom_site_type_symbol
_atom_site_fract_x
_atom_site_fract_y
_atom_site_fract_z
_atom_site_occupancy
Sr1 Sr 0.250 0.250 0.250 1
Sr2 Sr 0.750 0.750 0.750 1
Sc1 Sc 0.000 0.000 0.000 1
Os1 Os 0.500 0.500 0.500 1
O1 O 0.256 0.256 0.744 1
O2 O 0.256 0.744 0.256 1
O3 O 0.256 0.744 0.744 1
O4 O 0.744 0.256 0.256 1
O5 O 0.744 0.256 0.744 1
O6 O 0.744 0.744 0.256 1
```



The following is a PBEsol calculation of a geometry-optimized ScOsWO2 structure, from the Alexandria database.

Values from the calculation:
energy relative to the elements, uncorrected = 0.15 eV per atom
volume = 78.16 Å³ per cell
symmetry = P4/mmm (123)
magnetic moment = 0.129 Bohr magnetons per cell

```
data_ScOsWO2
_space_group_name_H-M_alt 'P 1'
_space_group_IT_number 1
_cell_length_a 3.774
_cell_length_b 3.774
_cell_length_c 5.487
_cell_angle_alpha 90.00
_cell_angle_beta 90.00
_cell_angle_gamma 90.00
loop_
_space_group_symop_operation_xyz
'x,y,z'
loop_
_atom_site_label
_atom_site_type_symbol
_atom_site_fract_x
_atom_site_fract_y
_atom_site_fract_z
_atom_site_occupancy
Sc1 Sc 0.000 0.000 0.000 1
Os1 Os 0.000 0.000 0.500 1
W1 W 0.500 0.500 0.500 1
O1 O 0.000 0.500 0.000 1
O2 O 0.500 0.000 0.000 1
```



The following is a PBEsol calculation of a geometry-optimized SiOsO2 structure, from the Alexandria database.

Values from the calculation:
energy relative to the elements, uncorrected = -1.23 eV per atom
volume = 56.45 Å³ per cell
symmetry = R-3m (166)
magnetic moment = 0.723 Bohr magnetons per cell

```
data_SiOsO2
_space_group_name_H-M_alt 'P 1'
_space_group_IT_number 1
_cell_length_a 9.654
_cell_length_b 9.654
_cell_length_c 9.654
_cell_angle_alpha 15.56
_cell_angle_beta 15.56
_cell_angle_gamma 15.56
loop_
_space_group_symop_operation_xyz
'x,y,z'
loop_
_atom_site_label
_atom_site_type_symbol
_atom_site_fract_x
_atom_site_fract_y
_atom_site_fract_z
_atom_site_occupancy
Si1 Si 0.000 0.000 0.000 1
Os1 Os 0.500 0.500 0.500 1
O1 O 0.366 0.366 0.366 1
O2 O 0.634 0.634 0.634 1
```



The following is a PBEsol calculation of a geometry-optimized Sm3OsO7 structure, from the Alexandria database.

Values from the calculation:
energy relative to the elements, uncorrected = -2.72 eV per atom
volume = 292.19 Å³ per cell
symmetry = Cmcm (63)
magnetic moment = 5.463 Bohr magnetons per cell

```
data_Sm3OsO7
_space_group_name_H-M_alt 'P 1'
_space_group_IT_number 1
_cell_length_a 6.487
_cell_length_b 6.487
_cell_length_c 7.440
_cell_angle_alpha 90.00
_cell_angle_beta 90.00
_cell_angle_gamma 68.94
loop_
_space_group_symop_operation_xyz
'x,y,z'
loop_
_atom_site_label
_atom_site_type_symbol
_atom_site_fract_x
_atom_site_fract_y
_atom_site_fract_z
_atom_site_occupancy
Sm1 Sm 0.000 0.000 0.000 1
Sm2 Sm 0.000 0.000 0.500 1
Sm3 Sm 0.078 0.474 0.750 1
Sm4 Sm 0.474 0.078 0.250 1
Sm5 Sm 0.526 0.922 0.750 1
Sm6 Sm 0.922 0.526 0.250 1
Os1 Os 0.500 0.500 0.000 1
Os2 Os 0.500 0.500 0.500 1
O1 O 0.106 0.158 0.250 1
O2 O 0.158 0.106 0.750 1
O3 O 0.183 0.563 0.039 1
O4 O 0.183 0.563 0.461 1
O5 O 0.416 0.584 0.750 1
O6 O 0.437 0.817 0.039 1
O7 O 0.437 0.817 0.461 1
O8 O 0.563 0.183 0.539 1
O9 O 0.563 0.183 0.961 1
O10 O 0.584 0.416 0.250 1
O11 O 0.817 0.437 0.539 1
O12 O 0.817 0.437 0.961 1
O13 O 0.842 0.894 0.250 1
O14 O 0.894 0.842 0.750 1
```



The following is a PBEsol calculation of a geometry-optimized SnOs2O structure, from the Alexandria database.

Values from the calculation:
energy relative to the elements, uncorrected = 1.03 eV per atom
volume = 56.70 Å³ per cell
symmetry = Fm-3m (225)
magnetic moment = 0.005 Bohr magnetons per cell

```
data_SnOs2O
_space_group_name_H-M_alt 'P 1'
_space_group_IT_number 1
_cell_length_a 4.312
_cell_length_b 4.312
_cell_length_c 4.312
_cell_angle_alpha 60.00
_cell_angle_beta 60.00
_cell_angle_gamma 60.00
loop_
_space_group_symop_operation_xyz
'x,y,z'
loop_
_atom_site_label
_atom_site_type_symbol
_atom_site_fract_x
_atom_site_fract_y
_atom_site_fract_z
_atom_site_occupancy
Sn1 Sn 0.000 0.000 0.000 1
Os1 Os 0.250 0.250 0.250 1
Os2 Os 0.750 0.750 0.750 1
O1 O 0.500 0.500 0.500 1
```



The following is a PBEsol calculation of a geometry-optimized SnOsO3 structure, from the Alexandria database.

Values from the calculation:
energy relative to the elements, uncorrected = -0.73 eV per atom
volume = 61.41 Å³ per cell
symmetry = Pm-3m (221)
magnetic moment = 0.882 Bohr magnetons per cell

```
data_SnOsO3
_space_group_name_H-M_alt 'P 1'
_space_group_IT_number 1
_cell_length_a 3.945
_cell_length_b 3.945
_cell_length_c 3.945
_cell_angle_alpha 90.00
_cell_angle_beta 90.00
_cell_angle_gamma 90.00
loop_
_space_group_symop_operation_xyz
'x,y,z'
loop_
_atom_site_label
_atom_site_type_symbol
_atom_site_fract_x
_atom_site_fract_y
_atom_site_fract_z
_atom_site_occupancy
Sn1 Sn 0.000 0.000 0.000 1
Os1 Os 0.500 0.500 0.500 1
O1 O 0.000 0.500 0.500 1
O2 O 0.500 0.000 0.500 1
O3 O 0.500 0.500 0.000 1
```